No. 1
# AlAuBr2

A relaxed structure of AlAuBr2 (PBE, Alexandria via LeMat-Bulk).

Cell: 3.965 3.731 7.449 Å, 88.66 90.00 90.00°
Atoms (fractional coordinates):
Au (0.500, 0.750, 0.750)
Al (0.500, 0.250, 0.250)
Br (0.000, 0.808, 0.001)
Br (0.000, 0.692, 0.499)

Offset from the most stable computed form   643.0 meV/atom
Size of the total moment   0.0 μB/f.u.
D(E_F)   0.263 states/eV per cell

---

No. 2
# ZrTl2PbSe4

A relaxed structure of ZrTl2PbSe4 (PBE, Alexandria via LeMat-Bulk).

Cell: 9.117 9.117 7.154 Å, 73.50 73.50 56.15°
Atoms (fractional coordinates):
Zr (0.125, 0.875, 0.750)
Zr (0.875, 0.125, 0.250)
Tl (0.124, 0.378, 0.735)
Tl (0.622, 0.876, 0.765)
Tl (0.876, 0.622, 0.265)
Tl (0.378, 0.124, 0.235)
Pb (0.625, 0.375, 0.750)
Pb (0.375, 0.625, 0.250)
Se (0.004, 0.797, 0.503)
Se (0.203, 0.996, 0.997)
Se (0.996, 0.203, 0.497)
Se (0.797, 0.004, 0.003)
Se (0.237, 0.547, 0.966)
Se (0.453, 0.763, 0.534)
Se (0.763, 0.453, 0.034)
Se (0.547, 0.237, 0.466)

Offset from the most stable computed form   0.0 meV/atom
Size of the total moment   0.0 μB/f.u.